(1)
{
  "formula": "HfTaNi",
  "functional": "GGA-PBE",
  "state": "optimized geometry",
  "crystal_system": "monoclinic",
  "delta_e_f_ev_per_atom": -0.208,
  "de_polymorph_ev_per_atom": 0.065,
  "energy_ev_per_atom": -9.4038,
  "lattice_angstrom": [[-1.4234, 4.0051, 0.4922], [-3.9513, -1.1976, -1.6816], [-0.7830, -3.1545, 4.8053]],
  "species": ["Hf", "Hf", "Ta", "Ta", "Ni", "Ni"],
  "fractional_positions": [[0.1038, 0.2642, 0.2077], [0.8962, 0.7358, 0.7923], [0.4122, 0.2433, 0.8244], [0.5878, 0.7567, 0.1756], [0.2323, 0.7905, 0.4646], [0.7677, 0.2095, 0.5354]]
}

=====

(2)
{
  "formula": "ZnTc2Pt2",
  "functional": "GGA-PBE",
  "state": "optimized geometry",
  "crystal_system": "tetragonal",
  "delta_e_f_ev_per_atom": 0.266,
  "de_polymorph_ev_per_atom": 0.071,
  "energy_ev_per_atom": -6.5519,
  "lattice_angstrom": [[-2.9035, 0.3537, 2.4012], [-2.4269, -0.4682, -2.8657], [-2.6192, -5.9387, 0.6898]],
  "species": ["Zn", "Tc", "Tc", "Pt", "Pt"],
  "fractional_positions": [[0.0000, 0.0000, 0.0000], [0.4062, 0.4062, 0.1876], [0.5938, 0.5938, 0.8124], [0.7500, 0.2500, 0.5000], [0.2500, 0.7500, 0.5000]]
}

=====

(3)
{
  "formula": "ZrCr",
  "functional": "GGA-PBE",
  "state": "optimized geometry",
  "crystal_system": "orthorhombic",
  "delta_e_f_ev_per_atom": 0.481,
  "energy_ev_per_atom": -8.6048,
  "lattice_angstrom": [[-0.1234, 1.0673, 2.8977], [2.6477, -2.9233, 1.1894], [4.4318, 3.5576, -1.1216]],
  "species": ["Cr", "Cr", "Zr", "Zr"],
  "fractional_positions": [[0.0000, 0.0000, 0.0077], [0.5000, 0.5000, 0.7423], [0.0000, 0.0000, 0.5356], [0.5000, 0.5000, 0.2144]]
}

=====

(4)
{
  "formula": "PmZn8Co2",
  "functional": "GGA-PBE",
  "state": "optimized geometry",
  "crystal_system": "tetragonal",
  "delta_e_f_ev_per_atom": 0.236,
  "energy_ev_per_atom": -2.4148,
  "lattice_angstrom": [[6.2263, 0.0000, 0.0000], [0.0000, 6.2263, 0.0000], [0.0000, 0.0000, 5.2044]],
  "species": ["Pm", "Zn", "Zn", "Zn", "Zn", "Zn", "Zn", "Zn", "Zn", "Co", "Co"],
  "fractional_positions": [[0.5000, 0.5000, 0.5000], [0.7914, 0.7914, 0.2394], [0.7914, 0.2086, 0.7606], [0.7914, 0.7914, 0.7606], [0.7914, 0.2086, 0.2394], [0.2086, 0.7914, 0.2394], [0.2086, 0.7914, 0.7606], [0.2086, 0.2086, 0.2394], [0.2086, 0.2086, 0.7606], [0.5000, 0.0000, 0.0000], [0.0000, 0.5000, 0.0000]]
}

=====

(5)
{
  "formula": "AcPr14Sc",
  "functional": "GGA-PBE",
  "state": "optimized geometry",
  "crystal_system": "tetragonal",
  "delta_e_f_ev_per_atom": 0.023,
  "energy_ev_per_atom": -4.8113,
  "lattice_angstrom": [[-5.4421, -3.6423, 3.4537], [5.0184, -3.8263, 3.8713], [-0.1691, 7.3365, 7.4706]],
  "species": ["Ac", "Pr", "Pr", "Pr", "Pr", "Pr", "Pr", "Pr", "Pr", "Pr", "Pr", "Pr", "Pr", "Pr", "Pr", "Sc"],
  "fractional_positions": [[0.3751, 0.6249, 0.0000], [0.3750, 0.6250, 0.5000], [0.8751, 0.1249, 0.5000], [0.8750, 0.6250, 0.0000], [0.8751, 0.6251, 0.5000], [0.3750, 0.1250, 0.0000], [0.3749, 0.1249, 0.5000], [0.6309, 0.8809, 0.7525], [0.6309, 0.8809, 0.2475], [0.1191, 0.3691, 0.7525], [0.1191, 0.3691, 0.2475], [0.1191, 0.8809, 0.7527], [0.1191, 0.8809, 0.2473], [0.6309, 0.3691, 0.7524], [0.6309, 0.3691, 0.2476], [0.8749, 0.1251, 0.0000]]
}

=====

(6)
{
  "formula": "Ba2TlGeRh",
  "functional": "GGA-PBE",
  "state": "optimized geometry",
  "crystal_system": "tetragonal",
  "delta_e_f_ev_per_atom": -0.331,
  "energy_ev_per_atom": -3.9671,
  "lattice_angstrom": [[6.1094, 0.0000, 0.0000], [0.0000, 6.1094, 0.0000], [0.0000, 0.0000, 4.7577]],
  "species": ["Ge", "Tl", "Rh", "Ba", "Ba"],
  "fractional_positions": [[0.0000, 0.0000, 0.5000], [0.5000, 0.5000, 0.5000], [0.0000, 0.0000, 0.0000], [0.0000, 0.5000, 0.0000], [0.5000, 0.0000, 0.0000]]
}

=====

(7)
{
  "formula": "Ba3NaNd2Se6",
  "functional": "GGA-PBE",
  "state": "optimized geometry",
  "crystal_system": "monoclinic",
  "e_form_raw_ev_per_atom": -1.8607,
  "energy_ev_per_atom": -4.9882,
  "lattice_angstrom": [[7.7274, 0.0007, 0.0034], [-3.8613, 6.6936, 0.0034], [-1.2865, -2.2276, 7.3723]],
  "species": ["Ba", "Ba", "Ba", "Na", "Nd", "Nd", "Se", "Se", "Se", "Se", "Se", "Se"],
  "fractional_positions": [[0.1631, 0.8369, 0.5000], [0.8369, 0.1631, 0.5000], [0.5000, 0.5000, 0.5000], [0.0000, 0.0000, 0.0000], [0.3326, 0.6674, 0.0000], [0.6674, 0.3326, 0.0000], [0.9249, 0.5821, 0.7754], [0.7314, 0.7314, 0.2204], [0.0751, 0.4179, 0.2246], [0.5821, 0.9249, 0.7754], [0.2686, 0.2686, 0.7796], [0.4179, 0.0751, 0.2246]]
}

=====

(8)
{
  "formula": "Pr6Ge2PS3",
  "functional": "GGA-PBE",
  "state": "optimized geometry",
  "crystal_system": "monoclinic",
  "e_form_raw_ev_per_atom": -1.5746,
  "energy_ev_per_atom": -6.2166,
  "lattice_angstrom": [[-2.9193, 0.3449, -3.0302], [-3.7301, -7.0170, 2.7949], [-2.7285, 6.4443, 6.3030]],
  "species": ["Pr", "Pr", "Pr", "Pr", "Pr", "Pr", "Ge", "Ge", "P", "S", "S", "S"],
  "fractional_positions": [[0.3350, 0.9178, 0.6700], [0.6659, 0.5839, 0.3317], [0.6650, 0.0822, 0.3300], [0.0006, 0.2452, 0.0011], [0.9994, 0.7548, 0.9989], [0.3341, 0.4161, 0.6683], [0.8338, 0.6677, 0.6676], [0.1662, 0.3323, 0.3324], [0.5000, 0.0000, 0.0000], [0.5000, 0.5000, 0.0000], [0.8339, 0.1660, 0.6679], [0.1661, 0.8340, 0.3321]]
}

=====

Number 1: V 103 Å³ per cell. Number 2: V 85 Å³ per cell. Number 3: V 74 Å³ per cell. Number 4: V 202 Å³ per cell. Number 5: V 574 Å³ per cell. Number 6: V 178 Å³ per cell. Number 7: V 381 Å³ per cell. Number 8: V 318 Å³ per cell.